Entry 1:
Compound: Sc2NiAsRh
Source: Alexandria
Functional: meta-GGA SCAN
Structure: PBEsol geometry

The structure in POSCAR format:
```
Sc2NiAsRh
1.0
4.416 0.000 0.000
0.000 4.905 0.000
0.000 0.000 4.905
Sc As Rh Ni
2 1 1 1
Cartesian
0.000 0.000 2.453
0.000 2.453 0.000
0.000 0.000 0.000
2.208 0.000 0.000
2.208 2.453 2.453
```

Summary:
As for the crystal system: tetragonal. The calculation puts the formation energy at 41.9 meV per atom. Its space group is P4/mmm, No. 123. For the total energy, the calculation gives -98.40 eV per cell.


Entry 2:
Compound: NiBi3N
Source: Alexandria
Functional: meta-GGA SCAN
Structure: PBEsol geometry

The structure in POSCAR format:
```
NiBi3N
1.0
-0.761 3.205 3.465
-3.334 -2.849 1.904
3.341 -2.113 2.689
N Bi Ni
1 3 1
Cartesian
0.000 0.000 0.000
1.671 -1.056 1.344
-0.381 1.603 1.732
-1.667 -1.425 0.952
-0.377 -0.878 4.029
```

Summary:
The value obtained for the formation energy from raw total energies is 984 meV/atom. As for the crystal system: cubic. Its space group is Pm-3m, No. 221. For the total energy, the calculation gives -256.28 eV per cell.


Entry 3:
Compound: B5SbO10
Source: Alexandria
Functional: meta-GGA SCAN
Structure: PBEsol geometry

The structure in POSCAR format:
```
B5SbO10
1.0
-1.447 5.641 -4.197
3.433 -4.035 -4.812
-12.638 -6.127 -3.878
O B Sb
40 20 4
Cartesian
-9.442 -2.680 -6.541
-7.714 -2.499 -4.181
-8.813 -4.673 -7.747
-0.061 -2.935 -3.050
-1.838 0.152 -5.141
-10.590 -1.586 -9.838
-8.493 -5.391 -4.373
-2.158 0.870 -8.516
-5.390 -4.653 -6.635
-9.843 -8.209 -7.706
-7.441 -0.643 -5.594
-2.937 -2.022 -8.708
-5.166 -2.771 -8.147
-2.367 1.729 -3.487
-5.261 0.131 -6.253
0.776 1.225 -7.948
-1.209 -1.842 -6.348
-6.599 -2.262 -10.760
-12.262 -4.406 -6.744
-4.037 0.126 -4.195
-6.614 -4.648 -8.694
-12.034 -1.422 -7.383
-7.164 1.236 -7.056
-0.149 -0.561 -2.807
-7.189 -3.108 -6.918
-5.485 -1.751 -4.741
1.383 -3.099 -5.505
-11.427 -5.746 -4.940
-2.405 -3.294 -3.438
-0.808 3.688 -5.183
-3.462 -1.413 -5.970
-10.502 -3.960 -10.081
1.610 -0.115 -6.144
-4.052 -2.259 -2.128
-3.210 -3.879 -7.294
-8.284 -6.250 -9.401
-3.487 -5.758 -5.832
-7.491 -8.244 -7.086
-3.160 3.723 -5.802
-8.246 -1.228 -9.450
-0.313 -1.843 -2.086
-9.574 -0.895 -9.300
-6.813 -1.678 -4.897
-4.577 -0.739 -5.271
-2.197 -0.998 -5.809
-12.142 -5.671 -6.112
-4.057 -4.712 -6.602
-7.970 -2.055 -10.538
-6.594 0.190 -6.286
-1.077 -3.626 -3.589
-3.838 -2.843 -7.992
2.106 -3.133 -4.291
-12.757 -1.389 -8.597
-10.338 -2.679 -10.802
1.491 1.149 -6.776
-2.681 -2.467 -2.350
-8.455 -3.524 -7.079
-6.074 -3.783 -7.617
-2.805 0.644 -4.265
-7.847 -5.166 -8.623
0.669 -1.708 -6.560
-11.320 -2.813 -6.328
-3.104 -0.367 -9.595
-7.547 -4.155 -3.293
```

Summary:
The value obtained for the formation energy from raw total energies is -2189 meV/atom. As for the crystal system: monoclinic. Its space group is P2_1/c, No. 14. For the total energy, the calculation gives -686.98 eV per cell.


Which DOS(E_F) belongs to each record? In order, 2.896, 1.544, 0.000 states/eV/f.u..
Which density belongs to each record? In order, 5.10, 10.63, 3.01 g/cm3.